Record 1
Computed, not measured: a relaxed structure of Cs4Ce3CuS8 at the GGA-PBE level of DFT.

Uncorrected formation energy, meV/atom: -1428
Space-group type: C2/m (12)
Total DFT energy (no corrections), eV/atom: -5.07
DOS(E_F), states/eV per cell: 13.3
Density, g cm⁻³: 4.40

Cell and atoms, written as POSCAR:
```
Cs4Ce3CuS8
1.0
7.308 -4.104 0.000
7.308 4.104 0.000
-4.803 0.000 8.000
Cs Ce Cu S
4 3 1 8
Direct
0.000 0.000 0.000
0.000 0.500 0.000
0.500 0.000 0.000
0.500 0.500 0.000
0.000 0.000 0.500
0.000 0.500 0.500
0.500 0.000 0.500
0.500 0.500 0.500
0.227 0.227 0.686
0.231 0.717 0.671
0.259 0.259 0.311
0.283 0.769 0.329
0.717 0.231 0.671
0.741 0.741 0.689
0.769 0.283 0.329
0.773 0.773 0.314
```



Record 2
Computed, not measured: a relaxed structure of Tb3Tm2In at the GGA-PBE level of DFT.

Space-group type: Immm (71)
Calculated formation energy, meV per atom: 206
Total DFT energy (no corrections), eV/atom: -4.06
DOS(E_F), states/eV per cell: 17.1
Relative energy among the computed polymorphs, kJ/mol of atoms: 35.68
Density, g cm⁻³: 8.38

Cell and atoms, written as POSCAR:
```
Tb3Tm2In
1.0
5.696 0.000 0.000
0.000 6.399 0.000
0.000 0.000 10.107
Tb Tm In
6 4 2
Direct
0.000 0.000 0.000
0.000 0.000 0.346
0.000 0.000 0.654
0.500 0.500 0.154
0.500 0.500 0.500
0.500 0.500 0.846
0.000 0.500 0.316
0.000 0.500 0.684
0.500 0.000 0.184
0.500 0.000 0.816
0.000 0.500 0.000
0.500 0.000 0.500
```



Record 3
Computed, not measured: a relaxed structure of Sr2Li at the GGA-PBE level of DFT.

Space-group type: C2/m (12)
Calculated formation energy, meV per atom: 32
Total DFT energy (no corrections), eV/atom: -1.73
DOS(E_F), states/eV per cell: 9.4
Relative energy among the computed polymorphs, kJ/mol of atoms: 1.41
Density, g cm⁻³: 2.31

Cell and atoms, written as POSCAR:
```
Sr2Li
1.0
13.814 0.000 0.000
0.000 4.230 0.000
-3.654 0.000 8.978
Sr Li
8 4
Direct
0.016 0.000 0.209
0.167 0.500 0.613
0.333 0.000 0.387
0.484 0.500 0.791
0.516 0.500 0.209
0.667 0.000 0.613
0.833 0.500 0.387
0.984 0.000 0.791
0.192 0.500 0.055
0.308 0.000 0.945
0.692 0.000 0.055
0.808 0.500 0.945
```



Record 4
Computed, not measured: a relaxed structure of ScCuW2 at the GGA-PBE level of DFT.

Space-group type: Cmm2 (35)
Calculated formation energy, meV per atom: 191
Total DFT energy (no corrections), eV/atom: -8.89
DOS(E_F), states/eV per cell: 4.7
Relative energy among the computed polymorphs, kJ/mol of atoms: 3.19
Density, g cm⁻³: 12.11

Cell and atoms, written as POSCAR:
```
ScCuW2
1.0
3.291 0.000 0.000
0.000 4.476 0.000
0.000 0.000 8.869
Sc Cu W
2 2 4
Direct
0.000 0.000 0.000
0.500 0.500 0.000
0.000 0.500 0.251
0.500 0.000 0.251
0.000 0.000 0.483
0.000 0.500 0.730
0.500 0.000 0.730
0.500 0.500 0.483
```